DFT (GGA-PBE) results for an optimized crystal structure of NdYHg.

```
data_NdYHg
_space_group_name_H-M_alt 'P 1'
_space_group_IT_number 1
_cell_length_a 5.1778
_cell_length_b 5.1778
_cell_length_c 5.1778
_cell_angle_alpha 60.00
_cell_angle_beta 60.00
_cell_angle_gamma 60.00
loop_
_space_group_symop_operation_xyz
'x,y,z'
loop_
_atom_site_label
_atom_site_fract_x
_atom_site_fract_y
_atom_site_fract_z
Y1 0.7500 0.7500 0.7500
Nd1 0.2500 0.2500 0.2500
Hg1 0.0000 0.0000 0.0000
```

Summary:
Excess energy over the best structure of this formula in the dataset   0 meV per atom
E_tot   -3.9541 eV per atom
Total magnetization   0.2 μB/f.u.
Density   7.34 g/cm³
Crystal system   cubic
Energy of formation   -0.1122 eV/atom